Below is an optimized crystal structure of Tl3Cr2O8, with properties calculated at the PBE with a Hubbard U level.

POSCAR file:
```
Tl3Cr2O8
1.0
2.9654 1.7121 7.1776
-2.9654 1.7121 7.1776
0.0000 -3.4241 7.1776
Tl Cr O
3 2 8
Cartesian
0.0000 0.0000 0.0000 Tl
0.0000 0.0000 4.2887 Tl
0.0000 0.0000 17.2442 Tl
0.0000 0.0000 8.4864 Cr
0.0000 0.0000 13.0465 Cr
0.0000 -1.5989 9.0251 O
-1.3847 0.7994 9.0251 O
-1.3847 -0.7994 12.5077 O
0.0000 0.0000 6.8525 O
0.0000 0.0000 14.6803 O
1.3847 0.7994 9.0251 O
1.3847 -0.7994 12.5077 O
0.0000 1.5989 12.5077 O
```

Computed properties:
Volume in Å³/f.u.: 219
Calculated total energy in eV/f.u.: -75.47
Total magnetic moment in μB per atom: 0.000
SG: R-3m